DFT (PBE) results for an optimized crystal structure of CaVTeN2.

Calculated values
* energy relative to the lowest polymorph listed for this composition: 0.0000 eV per atom
* E_tot: -6.281 eV/atom

Cell lengths 4.002, 4.002, 5.516 Å; angles 90.00, 90.00, 90.00 degrees
Space group P4/mmm (No. 123)
Symmetry-distinct sites (fractional):
Ca: 0.000 0.000 0.000 (multiplicity 1)
V: 0.500 0.500 0.500 (multiplicity 1)
Te: 0.500 0.500 0.000 (multiplicity 1)
N: 0.000 0.500 0.500 (multiplicity 2)

DFT (PBE) results for an optimized crystal structure of Y3TaPb.

Calculated values
* calculated formation energy: 0.52 eV/atom
* energy relative to the lowest polymorph listed for this composition: 0.0000 eV per atom
* E_tot: -6.476 eV/atom

Cell lengths 5.471, 5.471, 5.471 Å; angles 90.00, 90.00, 90.00 degrees
Space group Pm-3m (No. 221)
Symmetry-distinct sites (fractional):
Y: 0.000 0.000 0.500 (multiplicity 3)
Ta: 0.000 0.000 0.000 (multiplicity 1)
Pb: 0.500 0.500 0.500 (multiplicity 1)

DFT (PBE) results for an optimized crystal structure of TbGeRu2C.

Calculated values
* calculated formation energy: -0.49 eV/atom
* E_tot: -7.890 eV/atom

Cell lengths 3.888, 11.188, 7.315 Å; angles 90.00, 90.00, 90.00 degrees
Space group Cmcm (No. 63)
Symmetry-distinct sites (fractional):
Tb: 0.000 0.046 0.250 (multiplicity 4)
Ge: 0.000 0.233 0.750 (multiplicity 4)
Ru: 0.000 0.338 0.057 (multiplicity 8)
C: 0.000 0.500 0.000 (multiplicity 4)

DFT (PBE) results for an optimized crystal structure of PIr2.

Calculated values
* calculated formation energy: -0.06 eV/atom
* E_tot: -7.775 eV/atom

Cell lengths 2.8553, 2.8553, 5.9360 Å; angles 90.00, 90.00, 120.00 degrees
Space group P-3m1 (No. 164)
Symmetry-distinct sites (fractional):
P: 0.0000 0.0000 0.0000 (multiplicity 1)
Ir: 0.3333 0.6667 0.2982 (multiplicity 2)

DFT (PBE) results for an optimized crystal structure of Ta4FeGe3.

Calculated values
* calculated formation energy: -0.28 eV/atom
* E_tot: -8.997 eV/atom

Cell lengths 10.109, 10.109, 4.993 Å; angles 90.00, 90.00, 90.00 degrees
Space group I4/mcm (No. 140)
Symmetry-distinct sites (fractional):
Ta: 0.081 0.220 0.000 (multiplicity 16)
Fe: 0.000 0.500 0.250 (multiplicity 4)
Ge: 0.000 0.000 0.250 (multiplicity 4)
Ge: 0.155 0.345 0.500 (multiplicity 8)

DFT (PBE) results for an optimized crystal structure of Ho3TeAsSe.

Calculated values
* E_tot: -5.456 eV/atom

Cell lengths 6.951, 14.575, 6.891 Å; angles 90.00, 108.15, 90.00 degrees
Space group C2/c (No. 15)
Symmetry-distinct sites (fractional):
Ho: 0.000 0.249 0.250 (multiplicity 4)
Ho: 0.242 0.073 0.998 (multiplicity 8)
Te: 0.000 0.251 0.750 (multiplicity 4)
As: 0.000 0.063 0.250 (multiplicity 4)
Se: 0.000 0.440 0.250 (multiplicity 4)

DFT (PBE) results for an optimized crystal structure of Mg2Al2Ge.

Calculated values
* calculated formation energy: 0.22 eV/atom
* energy relative to the lowest polymorph listed for this composition: 0.0997 eV per atom
* E_tot: -2.834 eV/atom

Cell lengths 8.450, 8.450, 2.883 Å; angles 90.00, 90.00, 90.00 degrees
Space group P4/mbm (No. 127)
Symmetry-distinct sites (fractional):
Mg: 0.124 0.376 0.000 (multiplicity 4)
Al: 0.177 0.677 0.500 (multiplicity 4)
Ge: 0.000 0.000 0.000 (multiplicity 2)

DFT (PBE) results for an optimized crystal structure of La4Bi2P.

Calculated values
* calculated formation energy: -0.89 eV/atom
* E_tot: -5.589 eV/atom

Cell lengths 5.469, 5.469, 16.981 Å; angles 90.00, 90.00, 90.00 degrees
Space group I4/mmm (No. 139)
Symmetry-distinct sites (fractional):
La: 0.000 0.000 0.167 (multiplicity 4)
La: 0.000 0.500 0.000 (multiplicity 4)
Bi: 0.000 0.000 0.364 (multiplicity 4)
P: 0.000 0.000 0.000 (multiplicity 2)

Q: Among the records above, which one has the lowest E_tot?
A: Ta4FeGe3

Q: What is the formula in the first record?
A: CaVTeN2